[1]
Entry from the Alexandria database: a relaxed structure of Hg2Sb2Pb (GGA-PBE).

Summary:
size of the total moment = 0.00 μB/f.u.
energy above the lowest structure with this stoichiometry = 0.000 eV/atom
space-group type = No. 139
raw total energy = -0.1752 Ry/atom
formation energy without anion corrections = 0.13 eV per atom
mass density = 9.2 g cm⁻³
Fermi-level density of states = 2.54 states/eV/cell

Cell lengths 4.322, 4.322, 8.810 Å; angles 75.80, 75.80, 90.00 degrees
Positions (direct):
Sb 0.413 0.413 0.173
Pb 0.000 0.000 0.000
Hg 0.250 0.750 0.500
Hg 0.750 0.250 0.500
Sb 0.587 0.587 0.827


[2]
Entry from the Alexandria database: a relaxed structure of Ac2Al3ZnHg4 (GGA-PBE).

Summary:
size of the total moment = 0.00 μB/f.u.
space-group type = No. 115
raw total energy = -0.1874 Ry/atom
mass density = 9.6 g cm⁻³
Fermi-level density of states = 4.11 states/eV/cell

Cell lengths 4.662, 4.662, 11.114 Å; angles 90.00, 90.00, 90.00 degrees
Positions (direct):
Al 0.500 0.000 0.867
Hg 0.500 0.000 0.630
Zn 0.500 0.500 0.500
Ac 0.500 0.000 0.250
Hg 0.000 0.000 0.000
Al 0.000 0.500 0.133
Al 0.000 0.000 0.500
Ac 0.000 0.500 0.750
Hg 0.500 0.500 0.000
Hg 0.000 0.500 0.370


[3]
Entry from the Alexandria database: a relaxed structure of CeZnNiHg (GGA-PBE).

Summary:
size of the total moment = 0.00 μB/f.u.
space-group type = No. 216
raw total energy = -0.2578 Ry/atom
mass density = 10.1 g cm⁻³
Fermi-level density of states = 5.33 states/eV/cell

Cell lengths 4.769, 4.769, 4.769 Å; angles 60.00, 60.00, 60.00 degrees
Positions (direct):
Hg 0.500 0.500 0.500
Ce 0.000 0.000 0.000
Zn 0.250 0.250 0.250
Ni 0.750 0.750 0.750


[4]
Entry from the Alexandria database: a relaxed structure of BeAsOs2 (GGA-PBE).

Summary:
size of the total moment = 0.00 μB/f.u.
energy above the lowest structure with this stoichiometry = 0.147 eV/atom
space-group type = No. 160
raw total energy = -0.5467 Ry/atom
mass density = 14.1 g cm⁻³
Fermi-level density of states = 3.31 states/eV/cell

Cell lengths 8.027, 8.027, 8.027 Å; angles 20.37, 20.37, 20.37 degrees
Positions (direct):
Os 0.249 0.249 0.249
Os 0.006 0.006 0.006
Be 0.748 0.748 0.748
As 0.497 0.497 0.497